## Mn2BeAs (GGA-PBE)

Data for a relaxed structure of Mn2BeAs.

Results
Symmetry: Cmmm, No. 65
VASP energy in eV/atom: -6.54
Distance to the lowest polymorph of the same formula in meV per atom: 179
Fermi-level density of states in states/eV per cell: 2.1
Size of the total moment in μB per formula unit: 4.3
Energy of formation from the pure elements in eV per atom: 0.1368

a = 2.7333 Å, b = 2.7333 Å, c = 6.4256 Å
α = 90.00°, β = 90.00°, γ = 97.58°
Positions (direct):
Mn: 0.0000 0.0000 0.2258
Mn: 0.0000 0.0000 0.7742
Be: 0.5000 0.5000 0.0000
As: 0.5000 0.5000 0.5000

=====

## KCuPbI4 (GGA-PBE)

Data for a relaxed structure of KCuPbI4.

Results
Symmetry: P2_1/m, No. 11
VASP energy in eV/atom: -2.86
Fermi-level density of states in states/eV per cell: 0.0
Raw formation energy in eV per atom: -0.7035
Size of the total moment in μB per formula unit: 0.0

a = 7.3580 Å, b = 8.2652 Å, c = 9.6277 Å
α = 90.00°, β = 108.62°, γ = 90.00°
Positions (direct):
K: 0.2380 0.2500 0.0552
K: 0.7620 0.7500 0.9448
Cu: 0.2052 0.7500 0.3151
Cu: 0.7948 0.2500 0.6849
Pb: 0.2198 0.2500 0.5533
Pb: 0.7802 0.7500 0.4467
I: 0.0135 0.5064 0.7315
I: 0.0135 0.9936 0.7315
I: 0.4269 0.7500 0.1442
I: 0.4457 0.7500 0.5862
I: 0.5543 0.2500 0.4138
I: 0.5731 0.2500 0.8558
I: 0.9865 0.0064 0.2685
I: 0.9865 0.4936 0.2685

=====

## HfBe3Fe (GGA-PBE)

Data for a relaxed structure of HfBe3Fe.

Results
Symmetry: Pm-3m, No. 221
VASP energy in eV/atom: -3.89
Distance to the lowest polymorph of the same formula in meV per atom: 2128
Fermi-level density of states in states/eV per cell: 2.3
Size of the total moment in μB per formula unit: 2.0
Energy of formation from the pure elements in eV per atom: 2.0333

a = 4.5537 Å, b = 4.5537 Å, c = 4.5537 Å
α = 90.00°, β = 90.00°, γ = 90.00°
Positions (direct):
Hf: 0.0000 0.0000 0.0000
Be: 0.0000 0.0000 0.5000
Be: 0.0000 0.5000 0.0000
Be: 0.5000 0.0000 0.0000
Fe: 0.5000 0.5000 0.5000

=====

## La12Ho5Th2 (GGA-PBE)

Data for a relaxed structure of La12Ho5Th2.

Results
Symmetry: C2/m, No. 12
VASP energy in eV/atom: -4.94
Fermi-level density of states in states/eV per cell: 30.5
Size of the total moment in μB per formula unit: 0.0
Energy of formation from the pure elements in eV per atom: 0.1532

a = 9.8091 Å, b = 9.8091 Å, c = 11.0785 Å
α = 110.25°, β = 110.25°, γ = 42.45°
Positions (direct):
La: 0.0019 0.0019 0.3261
La: 0.0634 0.5878 0.4441
La: 0.0985 0.5818 0.1265
La: 0.4122 0.9366 0.5559
La: 0.4182 0.9015 0.8735
La: 0.4595 0.4595 0.7364
La: 0.5405 0.5405 0.2636
La: 0.5818 0.0985 0.1265
La: 0.5878 0.0634 0.4441
La: 0.9015 0.4182 0.8735
La: 0.9366 0.4122 0.5559
La: 0.9981 0.9981 0.6739
Ho: 0.1667 0.1667 0.2030
Ho: 0.3180 0.3180 0.8345
Ho: 0.5000 0.5000 0.5000
Ho: 0.6820 0.6820 0.1655
Ho: 0.8333 0.8333 0.7970
Th: 0.2379 0.7621 0.0000
Th: 0.7621 0.2379 0.0000

=====

## PrDy4In2 (GGA-PBE)

Data for a relaxed structure of PrDy4In2.

Results
Symmetry: I4/mmm, No. 139
VASP energy in eV/atom: -3.93
Fermi-level density of states in states/eV per cell: 10.0
Size of the total moment in μB per formula unit: 0.0
Energy of formation from the pure elements in eV per atom: 0.1642

a = 7.6665 Å, b = 7.6665 Å, c = 7.6665 Å
α = 135.46°, β = 135.46°, γ = 64.82°
Positions (direct):
Pr: 0.0000 0.0000 0.0000
Dy: 0.0000 0.5000 0.5000
Dy: 0.2500 0.7500 0.5000
Dy: 0.5000 0.0000 0.5000
Dy: 0.7500 0.2500 0.5000
In: 0.3754 0.3754 0.0000
In: 0.6246 0.6246 0.0000

=====

## BaNa (GGA-PBE)

Data for a relaxed structure of BaNa.

Results
Symmetry: R-3m, No. 166
VASP energy in eV/atom: -1.33
Distance to the lowest polymorph of the same formula in meV per atom: 312
Fermi-level density of states in states/eV per cell: 4.9
Size of the total moment in μB per formula unit: 0.0
Energy of formation from the pure elements in eV per atom: 0.2915

a = 7.6368 Å, b = 7.6368 Å, c = 7.6368 Å
α = 51.19°, β = 51.19°, γ = 51.19°
Positions (direct):
Ba: 0.2236 0.2236 0.2236
Ba: 0.7764 0.7764 0.7764
Na: 0.4183 0.4183 0.4183
Na: 0.5817 0.5817 0.5817

=====

## Th2Si4MoPt3 (GGA-PBE)

Data for a relaxed structure of Th2Si4MoPt3.

Results
Symmetry: P-4m2, No. 115
VASP energy in eV/atom: -7.54
Fermi-level density of states in states/eV per cell: 5.1
Raw formation energy in eV per atom: -0.9928
Size of the total moment in μB per formula unit: 0.0

a = 4.2979 Å, b = 4.2979 Å, c = 9.8457 Å
α = 90.00°, β = 90.00°, γ = 90.00°
Positions (direct):
Th: 0.0000 0.5000 0.2494
Th: 0.5000 0.0000 0.7506
Si: 0.0000 0.0000 0.0000
Si: 0.0000 0.5000 0.6298
Si: 0.5000 0.0000 0.3702
Si: 0.5000 0.5000 0.0000
Mo: 0.0000 0.0000 0.5000
Pt: 0.0000 0.5000 0.8810
Pt: 0.5000 0.0000 0.1190
Pt: 0.5000 0.5000 0.5000

=====

## GeSbWI2 (GGA-PBE)

Data for a relaxed structure of GeSbWI2.

Results
Symmetry: P4/mmm, No. 123
VASP energy in eV/atom: -3.46
Distance to the lowest polymorph of the same formula in meV per atom: 524
Fermi-level density of states in states/eV per cell: 6.6
Raw formation energy in eV per atom: 1.5012
Size of the total moment in μB per formula unit: 3.6

a = 5.5093 Å, b = 5.5093 Å, c = 5.6263 Å
α = 90.00°, β = 90.00°, γ = 90.00°
Positions (direct):
Ge: 0.0000 0.0000 0.0000
Sb: 0.0000 0.0000 0.5000
W: 0.5000 0.5000 0.5000
I: 0.0000 0.5000 0.0000
I: 0.5000 0.0000 0.0000

=====

## ZnCoSe2Br (GGA-PBE)

Data for a relaxed structure of ZnCoSe2Br.

Results
Symmetry: P4/mmm, No. 123
VASP energy in eV/atom: -3.12
Distance to the lowest polymorph of the same formula in meV per atom: 0
Fermi-level density of states in states/eV per cell: 4.9
Raw formation energy in eV per atom: 0.2843
Size of the total moment in μB per formula unit: 1.7

a = 4.6532 Å, b = 4.6532 Å, c = 5.1458 Å
α = 90.00°, β = 90.00°, γ = 90.00°
Positions (direct):
Zn: 0.0000 0.0000 0.0000
Co: 0.5000 0.5000 0.5000
Se: 0.0000 0.5000 0.5000
Se: 0.5000 0.0000 0.5000
Br: 0.5000 0.5000 0.0000

=====

## RbLaBOs2 (GGA-PBE)

Data for a relaxed structure of RbLaBOs2.

Results
Symmetry: P4/mmm, No. 123
VASP energy in eV/atom: -6.26
Fermi-level density of states in states/eV per cell: 4.5
Size of the total moment in μB per formula unit: 0.0
Energy of formation from the pure elements in eV per atom: 0.7417

a = 4.2648 Å, b = 4.2648 Å, c = 5.2512 Å
α = 90.00°, β = 90.00°, γ = 90.00°
Positions (direct):
Rb: 0.0000 0.0000 0.0000
La: 0.5000 0.5000 0.0000
B: 0.0000 0.0000 0.5000
Os: 0.0000 0.5000 0.5000
Os: 0.5000 0.0000 0.5000

=====

## VGe2Ru (GGA-PBE)

Data for a relaxed structure of VGe2Ru.

Results
Symmetry: I-42d, No. 122
VASP energy in eV/atom: -6.69
Distance to the lowest polymorph of the same formula in meV per atom: 352
Fermi-level density of states in states/eV per cell: 8.5
Size of the total moment in μB per formula unit: 0.0
Energy of formation from the pure elements in eV per atom: 0.2131

a = 9.2958 Å, b = 9.2958 Å, c = 9.2958 Å
α = 156.56°, β = 156.56°, γ = 33.38°
Positions (direct):
V: 0.0000 0.0000 0.0000
V: 0.7500 0.2500 0.5000
Ge: 0.1238 0.6250 0.9988
Ge: 0.3750 0.3738 0.4988
Ge: 0.6262 0.1250 0.0012
Ge: 0.8750 0.8762 0.5012
Ru: 0.2500 0.7500 0.5000
Ru: 0.5000 0.5000 0.0000

=====

## Nd5YHo4 (GGA-PBE)

Data for a relaxed structure of Nd5YHo4.

Results
Symmetry: I4, No. 79
VASP energy in eV/atom: -4.57
Fermi-level density of states in states/eV per cell: 15.2
Size of the total moment in μB per formula unit: 0.0
Energy of formation from the pure elements in eV per atom: 0.2881

a = 7.9556 Å, b = 7.9556 Å, c = 7.9556 Å
α = 99.10°, β = 99.10°, γ = 133.14°
Positions (direct):
Nd: 0.0000 0.0000 0.0000
Nd: 0.5021 0.5851 0.6183
Nd: 0.5851 0.9669 0.0831
Nd: 0.8838 0.5021 0.9169
Nd: 0.9669 0.8838 0.3817
Y: 0.4591 0.4591 0.0000
Ho: 0.1910 0.5838 0.3005
Ho: 0.2833 0.8905 0.6995
Ho: 0.5838 0.2833 0.3927
Ho: 0.8905 0.1910 0.6073

=====

Number 4 is which compound?
La12Ho5Th2

=====

What is the formula in the ninth record?
ZnCoSe2Br